A plane-wave DFT calculation with PBE+U was carried out for a relaxed structure of HfMn2F.

Calculated values
energy above the lowest structure with this stoichiometry	559	meV/atom

Cell lengths 4.731, 4.731, 4.731 Å; angles 60.00, 60.00, 60.00 degrees
Fractional positions:
Hf: 0.500 0.500 0.500
Mn: 0.750 0.750 0.750
Mn: 0.250 0.250 0.250
F: 0.000 0.000 0.000